1.
The following is a GGA-PBE calculation of crystalline Zr6SnS at its relaxed geometry, from Alexandria via LeMat-Bulk.

Cell: 5.5036 7.3402 5.8382 Å, 72.09 80.44 51.78°
Fractional coordinates of all 8 atoms:
1 Zr 0.1170 0.2746 0.7257
2 Zr 0.8276 0.9329 0.6783
3 Zr 0.4395 0.3213 0.0685
4 Zr 0.1724 0.0671 0.3217
5 Zr 0.8830 0.7254 0.2743
6 Zr 0.5605 0.6787 0.9315
7 Sn 0.5000 0.5000 0.5000
8 S 0.0000 0.0000 0.0000

Results
Its crystal system is monoclinic. The space group is No. 12. The density comes out at 6578 kg/m3. The calculation puts the raw formation energy at -433 meV/atom.

---

2.
The following is a GGA-PBE calculation of crystalline CsCd2PtC at its relaxed geometry, from Alexandria via LeMat-Bulk.

Cell: 5.8956 3.9160 5.8956 Å, 90.00 90.00 90.00°
Fractional coordinates of all 5 atoms:
1 Cs 0.5000 0.5000 0.5000
2 C 0.0000 0.0000 0.0000
3 Pt 0.0000 0.5000 0.0000
4 Cd 0.0000 0.0000 0.5000
5 Cd 0.5000 0.0000 0.0000

Results
Its crystal system is tetragonal. For the energy of formation, the calculation gives 0.58 eV per atom. The space group is No. 123. The density comes out at 6891 kg/m3.

---

3.
The following is a GGA-PBE calculation of crystalline Sr3InGa at its relaxed geometry, from Alexandria via LeMat-Bulk.

Cell: 4.4906 9.0570 9.6067 Å, 91.77 90.00 104.37°
Fractional coordinates of all 10 atoms:
1 Sr 0.0790 0.1910 0.4051
2 Sr 0.4169 0.8660 0.6451
3 Sr 0.6271 0.2885 0.7765
4 Sr 0.9651 0.9629 0.0165
5 Sr 0.2603 0.5536 0.0237
6 Sr 0.7836 0.6003 0.3980
7 In 0.4307 0.8948 0.2837
8 In 0.6133 0.2589 0.1381
9 Ga 0.2369 0.5080 0.6479
10 Ga 0.8070 0.6464 0.7733

Results
Its crystal system is monoclinic. For the energy of formation, the calculation gives -0.32 eV per atom. The space group is No. 8. The excess energy over the best structure of this formula in the dataset is 6.1 meV per atom. The density comes out at 3928 kg/m3.

---

4.
The following is a GGA-PBE calculation of crystalline Nd3Cd7Pd4 at its relaxed geometry, from Alexandria via LeMat-Bulk.

Cell: 4.4703 8.4168 9.2526 Å, 72.88 76.02 74.60°
Fractional coordinates of all 14 atoms:
1 Nd 0.3003 0.1865 0.2129
2 Nd 0.6997 0.8135 0.7871
3 Nd 0.0000 0.5000 0.5000
4 Cd 0.3237 0.8411 0.5114
5 Cd 0.4862 0.2156 0.8120
6 Cd 0.8371 0.3935 0.9324
7 Cd 0.6763 0.1589 0.4886
8 Cd 0.1629 0.6065 0.0676
9 Cd 0.0000 0.0000 0.0000
10 Cd 0.5138 0.7844 0.1880
11 Pd 0.6597 0.4363 0.2443
12 Pd 0.3403 0.5637 0.7557
13 Pd 0.8893 0.8996 0.3219
14 Pd 0.1107 0.1004 0.6781

Results
Its crystal system is monoclinic. For the energy of formation, the calculation gives -0.50 eV per atom. The space group is No. 12. The density comes out at 8654 kg/m3.

---

5.
The following is a GGA-PBE calculation of crystalline LiSiN at its relaxed geometry, from Alexandria via LeMat-Bulk.

Cell: 4.4888 3.6587 5.9404 Å, 107.94 112.20 90.00°
Fractional coordinates of all 6 atoms:
1 Li 0.6860 0.1860 0.3719
2 Li 0.3140 0.8140 0.6281
3 Si 0.7424 0.5000 0.0000
4 Si 0.2576 0.5000 0.0000
5 N 0.1270 0.6270 0.2539
6 N 0.8730 0.3730 0.7461

Results
Its crystal system is orthorhombic. The space group is No. 71. The excess energy over the best structure of this formula in the dataset is 446.4 meV per atom. The density comes out at 1912 kg/m3. The calculation puts the raw formation energy at -166 meV/atom.

---

6.
The following is a GGA-PBE calculation of crystalline Pm12HoTl3 at its relaxed geometry, from Alexandria via LeMat-Bulk.

Cell: 4.9701 4.9701 20.2945 Å, 90.00 90.00 90.00°
Fractional coordinates of all 16 atoms:
1 Pm 0.5000 0.5000 0.0000
2 Pm 0.5000 0.5000 0.2537
3 Pm 0.5000 0.5000 0.5000
4 Pm 0.5000 0.5000 0.7463
5 Pm 0.5000 0.0000 0.1299
6 Pm 0.5000 0.0000 0.3768
7 Pm 0.5000 0.0000 0.6232
8 Pm 0.5000 0.0000 0.8701
9 Pm 0.0000 0.5000 0.1299
10 Pm 0.0000 0.5000 0.3768
11 Pm 0.0000 0.5000 0.6232
12 Pm 0.0000 0.5000 0.8701
13 Ho 0.0000 0.0000 0.0000
14 Tl 0.0000 0.0000 0.2563
15 Tl 0.0000 0.0000 0.5000
16 Tl 0.0000 0.0000 0.7437

Results
Its crystal system is tetragonal. For the energy of formation, the calculation gives -0.14 eV per atom. The space group is No. 123. The density comes out at 8341 kg/m3.